Computed, not measured: an optimized crystal structure of Ba2AcDy3O8 at the GGA-PBE level of DFT.

The structure in CIF format:
```
data_Ba2AcDy3O8
_cell_length_a 7.0830
_cell_length_b 7.0830
_cell_length_c 18.4324
_cell_angle_alpha 90.00
_cell_angle_beta 90.00
_cell_angle_gamma 120.00
_space_group_name_H-M_alt 'R 3 m'
_space_group_IT_number 160
_space_group_name_Hall 'R 3 -2"'
loop_
_atom_site_label
_atom_site_type_symbol
_atom_site_fract_x
_atom_site_fract_y
_atom_site_fract_z
Ba1 Ba 0.0000 0.0000 0.0000
Ba2 Ba 0.0000 0.0000 0.3776
Ac1 Ac 0.0000 0.0000 0.6185
Dy1 Dy 0.1693 0.3387 0.8320
O1 O 0.0000 0.0000 0.2302
O2 O 0.0000 0.0000 0.7627
O3 O 0.0379 0.5189 0.7690
O4 O 0.1767 0.3534 0.5672
```

Calculated values
Crystal system: trigonal
Raw formation energy (kJ per mole of atoms): -305
N(E_F) (states/eV per cell): 0.0
DFT total energy (eV/atom): -7.552
Volume (Å³ per atom): 19.1

Computed, not measured: an optimized crystal structure of Dy2MgZn12Cu3 at the GGA-PBE level of DFT.

The structure in CIF format:
```
data_Dy2MgZn12Cu3
_cell_length_a 8.2593
_cell_length_b 8.2593
_cell_length_c 19.8358
_cell_angle_alpha 90.00
_cell_angle_beta 90.00
_cell_angle_gamma 120.00
_space_group_name_H-M_alt 'R -3 m'
_space_group_IT_number 166
_space_group_name_Hall '-R 3 2"'
loop_
_atom_site_label
_atom_site_type_symbol
_atom_site_fract_x
_atom_site_fract_y
_atom_site_fract_z
Dy1 Dy 0.0000 0.0000 0.0906
Mg1 Mg 0.0000 0.0000 0.5000
Zn1 Zn 0.0165 0.5082 0.3432
Zn2 Zn 0.0993 0.5497 0.8822
Cu1 Cu 0.0000 0.5000 0.0000
```

Calculated values
Crystal system: trigonal
N(E_F) (states/eV per cell): 22.6
DFT total energy (eV/atom): -1.893
Volume (Å³ per atom): 21.7
Calculated formation energy (kJ/mol of formula units): 414

Computed, not measured: an optimized crystal structure of Cs3GeSe3 at the GGA-PBE level of DFT.

The structure in CIF format:
```
data_Cs3GeSe3
_cell_length_a 16.5169
_cell_length_b 14.1542
_cell_length_c 9.8594
_cell_angle_alpha 90.00
_cell_angle_beta 96.48
_cell_angle_gamma 90.00
_space_group_name_H-M_alt 'C 1 2/c 1'
_space_group_IT_number 15
_space_group_name_Hall '-C 2yc'
loop_
_atom_site_label
_atom_site_type_symbol
_atom_site_fract_x
_atom_site_fract_y
_atom_site_fract_z
Cs1 Cs 0.0000 0.0814 0.2500
Cs2 Cs 0.0000 0.4191 0.2500
Cs3 Cs 0.0923 0.2474 0.6226
Cs4 Cs 0.2485 0.4984 0.7460
Ge1 Ge 0.1769 0.2498 0.0372
Se1 Se 0.1044 0.3876 0.9461
Se2 Se 0.1060 0.1100 0.9489
Se3 Se 0.1820 0.2510 0.2825
```

Calculated values
Crystal system: monoclinic
Raw formation energy (kJ per mole of atoms): -98
N(E_F) (states/eV per cell): 0.0
DFT total energy (eV/atom): -3.536
Volume (Å³ per atom): 40.9
Polymorph energy (0 for the lowest one) (eV per formula unit): 0.00

Computed, not measured: an optimized crystal structure of TbPmCo at the GGA-PBE level of DFT.

The structure in CIF format:
```
data_TbPmCo
_cell_length_a 3.4090
_cell_length_b 6.8515
_cell_length_c 6.8949
_cell_angle_alpha 104.49
_cell_angle_beta 104.27
_cell_angle_gamma 90.07
_space_group_name_H-M_alt 'P -1'
_space_group_IT_number 2
_space_group_name_Hall '-P 1'
loop_
_atom_site_label
_atom_site_type_symbol
_atom_site_fract_x
_atom_site_fract_y
_atom_site_fract_z
Tb1 Tb 0.1258 0.0625 0.2524
Pm1 Pm 0.1271 0.5646 0.2544
Co1 Co 0.4993 0.7604 0.9985
```

Calculated values
Crystal system: triclinic
N(E_F) (states/eV per cell): 5.7
DFT total energy (eV/atom): -5.539
Volume (Å³ per atom): 25.1
Polymorph energy (0 for the lowest one) (eV per formula unit): 0.22
Calculated formation energy (kJ/mol of formula units): -12

Computed, not measured: an optimized crystal structure of Li3IO3 at the GGA-PBE level of DFT.

The structure in CIF format:
```
data_Li3IO3
_cell_length_a 7.3096
_cell_length_b 12.6882
_cell_length_c 4.0860
_cell_angle_alpha 90.00
_cell_angle_beta 90.00
_cell_angle_gamma 90.00
_space_group_name_H-M_alt 'C m c m'
_space_group_IT_number 63
_space_group_name_Hall '-C 2c 2'
loop_
_atom_site_label
_atom_site_type_symbol
_atom_site_fract_x
_atom_site_fract_y
_atom_site_fract_z
Li1 Li 0.0000 0.1459 0.2500
Li2 Li 0.2197 0.0729 0.7500
I1 I 0.0000 0.3329 0.7500
O1 O 0.0000 0.1701 0.7500
O2 O 0.2435 0.4150 0.7500
```

Calculated values
Crystal system: orthorhombic
Raw formation energy (kJ per mole of atoms): -121
DFT total energy (eV/atom): -4.418
Volume (Å³ per atom): 13.5

Computed, not measured: an optimized crystal structure of MgCo2Bi2 at the GGA-PBE level of DFT.

The structure in CIF format:
```
data_MgCo2Bi2
_cell_length_a 3.5140
_cell_length_b 3.5140
_cell_length_c 17.3288
_cell_angle_alpha 90.00
_cell_angle_beta 90.00
_cell_angle_gamma 90.00
_space_group_name_H-M_alt 'I 4/m m m'
_space_group_IT_number 139
_space_group_name_Hall '-I 4 2'
loop_
_atom_site_label
_atom_site_type_symbol
_atom_site_fract_x
_atom_site_fract_y
_atom_site_fract_z
Mg1 Mg 0.0000 0.0000 0.0000
Co1 Co 0.0000 0.5000 0.2500
Bi1 Bi 0.0000 0.0000 0.3742
```

Calculated values
Crystal system: tetragonal
N(E_F) (states/eV per cell): 12.8
DFT total energy (eV/atom): -4.467
Volume (Å³ per atom): 21.4
Polymorph energy (0 for the lowest one) (eV per formula unit): 0.00
Calculated formation energy (kJ/mol of formula units): 119

Computed, not measured: an optimized crystal structure of ZnSiNi2 at the GGA-PBE level of DFT.

The structure in CIF format:
```
data_ZnSiNi2
_cell_length_a 6.4225
_cell_length_b 6.4225
_cell_length_c 5.0807
_cell_angle_alpha 90.00
_cell_angle_beta 90.00
_cell_angle_gamma 90.00
_space_group_name_H-M_alt 'I -4 2 d'
_space_group_IT_number 122
_space_group_name_Hall 'I -4 2bw'
loop_
_atom_site_label
_atom_site_type_symbol
_atom_site_fract_x
_atom_site_fract_y
_atom_site_fract_z
Zn1 Zn 0.0000 0.0000 0.0000
Si1 Si 0.0000 0.0000 0.5000
Ni1 Ni 0.2161 0.2500 0.6250
```

Calculated values
Crystal system: tetragonal
Raw formation energy (kJ per mole of atoms): -2
N(E_F) (states/eV per cell): 5.6
DFT total energy (eV/atom): -4.585
Volume (Å³ per atom): 13.1

Computed, not measured: an optimized crystal structure of TlGeCl3 at the GGA-PBE level of DFT.

The structure in CIF format:
```
data_TlGeCl3
_cell_length_a 4.5963
_cell_length_b 4.5963
_cell_length_c 8.0149
_cell_angle_alpha 90.00
_cell_angle_beta 90.00
_cell_angle_gamma 90.00
_space_group_name_H-M_alt 'P 4 m m'
_space_group_IT_number 99
_space_group_name_Hall 'P 4 -2'
loop_
_atom_site_label
_atom_site_type_symbol
_atom_site_fract_x
_atom_site_fract_y
_atom_site_fract_z
Tl1 Tl 0.0000 0.0000 0.0000
Ge1 Ge 0.5000 0.5000 0.4463
Cl1 Cl 0.0000 0.0000 0.6438
Cl2 Cl 0.0000 0.5000 0.2886
```

Calculated values
Crystal system: tetragonal
Raw formation energy (kJ per mole of atoms): -60
N(E_F) (states/eV per cell): 0.0
DFT total energy (eV/atom): -3.128
Volume (Å³ per atom): 33.9

Look up the volume of the seventh one.
13.1 Å³ per atom